Entry 1:
VASP calculation (PBE) on a relaxed Na3La3IrO8 crystal.

Results
Formation energy (no corrections) (meV/atom): -2228
Size of the total moment (μB per formula unit): 1.061
Fermi-level density of states (states/eV/f.u.): 7.90

Cell and atoms, written as extended XYZ:
```
15
Lattice="3.543 2.046 5.542 -3.543 2.046 5.542 0.000 -4.091 5.542" Properties=species:S:1:pos:R:3 pbc="T T T"
Na -1.772 -1.023 5.542
Na -1.772 1.023 11.084
Na 0.000 2.046 5.542
La -3.543 0.000 8.313
La -1.772 1.023 2.771
La 1.772 1.023 2.771
Ir 0.000 0.000 8.313
O 0.000 0.000 3.981
O -1.547 -0.893 9.433
O 0.000 -1.786 7.193
O -1.547 0.893 7.193
O 1.547 -0.893 9.433
O 0.000 1.786 9.433
O 1.547 0.893 7.193
O 0.000 0.000 12.644
```

---

Entry 2:
VASP calculation (PBE) on a relaxed RbTaMo2 crystal.

Results
Size of the total moment (μB per formula unit): 0.000
Energy relative to the lowest polymorph listed for this composition (eV per atom): 0.2202
E_form (eV per atom): 1.9462
Fermi-level density of states (states/eV/f.u.): 5.56

Cell and atoms, written as extended XYZ:
```
8
Lattice="-2.505 2.505 8.992 2.505 -2.505 8.992 2.505 2.505 -8.992" Properties=species:S:1:pos:R:3 pbc="T T T"
Rb 0.000 0.000 0.000
Rb 0.000 2.505 4.496
Ta 2.505 0.000 4.496
Ta 0.000 0.000 8.992
Mo 1.253 -0.312 6.744
Mo 2.193 1.253 2.248
Mo 1.253 2.817 -2.248
Mo 0.312 1.253 11.239
```

---

Entry 3:
VASP calculation (PBE) on a relaxed KMnCr2 crystal.

Results
Size of the total moment (μB per formula unit): 2.148
Energy relative to the lowest polymorph listed for this composition (eV per atom): 0.1818
E_form (eV per atom): 0.9477
Fermi-level density of states (states/eV/f.u.): 4.31

Cell and atoms, written as extended XYZ:
```
4
Lattice="4.411 -1.430 0.000 4.411 1.430 0.000 -0.366 0.000 6.921" Properties=species:S:1:pos:R:3 pbc="T T T"
K 0.000 0.000 0.000
Mn 4.228 0.000 3.461
Cr 1.827 0.000 4.204
Cr 6.629 0.000 2.717
```

---

Number 1: E_tot -100.68 eV for the cell shown. Number 2: E_tot -53.40 eV for the cell shown. Number 3: E_tot -25.72 eV for the cell shown.